No. 1
Density functional theory data (GGA-PBE) for Rb2ReSI6 after structural relaxation.

Properties
VASP energy   -3.128 eV/atom
E_form (uncorrected)   -33.43 kJ/mol of atoms

```
Rb2ReSI6
1.0
-4.3368 4.3368 5.5293
4.3368 -4.3368 5.5293
4.3368 4.3368 -5.5293
Rb Re S I
2 1 1 6
Cartesian
4.3368 0.0000 2.7646
0.0000 4.3368 2.7646
0.0000 0.0000 0.0000
0.0000 0.0000 5.5293
1.9443 1.9443 0.0000
2.3924 -2.3924 5.5293
0.0000 0.0000 2.8244
0.0000 0.0000 8.2341
-2.3924 2.3924 5.5293
2.3924 2.3924 5.5293
```

---

No. 2
Density functional theory data (GGA-PBE) for RbReSbI2 after structural relaxation.

Properties
VASP energy   -4.002 eV/atom
E_form (uncorrected)   12.09 kJ/mol of atoms

```
RbReSbI2
1.0
5.9445 0.0000 0.0000
0.0000 5.9445 0.0000
0.0000 0.0000 5.1153
Rb Re Sb I
1 1 1 2
Cartesian
0.0000 0.0000 0.0000
2.9722 2.9722 2.5577
2.9722 2.9722 0.0000
0.0000 2.9722 2.5577
2.9722 0.0000 2.5577
```

---

No. 3
Density functional theory data (GGA-PBE) for RbReSbI2 after structural relaxation.

Properties
VASP energy   -2.545 eV/atom
E_form (uncorrected)   152.70 kJ/mol of atoms

```
RbReSbI2
1.0
6.8849 0.0000 0.0000
0.0000 6.8849 0.0000
0.0000 0.0000 6.7531
Rb Re Sb I
1 1 1 2
Cartesian
0.0000 0.0000 0.0000
3.4425 3.4425 3.3766
0.0000 0.0000 3.3766
0.0000 3.4425 0.0000
3.4425 0.0000 0.0000
```

---

No. 4
Density functional theory data (GGA-PBE) for Rb2ReSeI6 after structural relaxation.

Properties
VASP energy   -3.096 eV/atom
E_form (uncorrected)   -36.57 kJ/mol of atoms

```
Rb2ReSeI6
1.0
-4.3178 4.3178 5.6844
4.3178 -4.3178 5.6844
4.3178 4.3178 -5.6844
Rb Re Se I
2 1 1 6
Cartesian
4.3178 0.0000 2.8422
0.0000 4.3178 2.8422
0.0000 0.0000 0.0000
0.0000 0.0000 5.6844
1.9526 1.9526 0.0000
2.3652 -2.3652 5.6844
0.0000 0.0000 2.8120
0.0000 0.0000 8.5567
-2.3652 2.3652 5.6844
2.3652 2.3652 5.6844
```

---

No. 5
Density functional theory data (GGA-PBE) for Rb2ReSiI6 after structural relaxation.

Properties
VASP energy   -3.219 eV/atom
E_form (uncorrected)   -29.78 kJ/mol of atoms

```
Rb2ReSiI6
1.0
0.0000 5.7963 5.7963
5.7963 0.0000 5.7963
5.7963 5.7963 0.0000
Rb Re Si I
2 1 1 6
Cartesian
2.8981 2.8981 2.8981
8.6944 8.6944 8.6944
0.0000 0.0000 0.0000
5.7963 5.7963 5.7963
5.7963 5.7963 2.8261
5.7963 2.8261 5.7963
8.7665 5.7963 5.7963
2.8261 5.7963 5.7963
5.7963 8.7665 5.7963
5.7963 5.7963 8.7665
```

---

No. 6
Density functional theory data (GGA-PBE) for Rb2TaReI6 after structural relaxation.

Properties
VASP energy   -3.667 eV/atom
E_form (uncorrected)   -10.96 kJ/mol of atoms

```
Rb2TaReI6
1.0
-4.0015 4.0015 5.7121
4.0015 -4.0015 5.7121
4.0015 4.0015 -5.7121
Rb Ta Re I
2 1 1 6
Cartesian
4.0015 0.0000 2.8561
0.0000 4.0015 2.8561
0.0000 0.0000 0.0000
0.0000 0.0000 5.7121
0.0000 0.0000 2.9009
2.0329 2.0329 0.0000
1.9686 -1.9686 5.7121
-1.9686 1.9686 5.7121
0.0000 0.0000 8.5233
1.9686 1.9686 5.7121
```